1.
Below is a relaxed structure of Li2Ag2IrO6, with properties calculated at the PBE level.

## Properties
E_form (uncorrected)   -704 meV per atom
Magnetization   0.07 μB per atom

Structure (extended XYZ):
```
11
Lattice="3.0427 -4.6122 0.0000 3.0427 4.6122 0.0000 -2.2377 0.0000 4.7278" Properties=species:S:1:pos:R:3 pbc="T T T"
Li 3.0427 2.9604 0.0000
Li 3.0427 -2.9604 0.0000
Ag 1.9238 1.4459 2.3639
Ag 1.9238 -1.4459 2.3639
Ir -1.1189 0.0000 2.3639
O -0.4210 1.4300 3.5161
O 0.5408 0.0000 1.3614
O -0.4210 -1.4300 3.5161
O 4.2687 1.4300 1.2117
O 3.3069 0.0000 3.3664
O 4.2687 -1.4300 1.2117
```

2.
Below is a relaxed structure of Be2AlPd, with properties calculated at the PBE level.

## Properties
Calculated total energy   -31.420 eV/cell
Magnetization   0.00 μB per atom

Structure (extended XYZ):
```
8
Lattice="-3.3210 3.3210 2.4274 3.3210 -3.3210 2.4274 3.3210 3.3210 -2.4274" Properties=species:S:1:pos:R:3 pbc="T T T"
Be 4.9815 1.4666 -0.6069
Be 1.4666 1.6605 0.6069
Be -1.6605 1.8543 1.8206
Be 1.8543 1.6605 3.0343
Al 3.3210 0.0000 1.2137
Al 0.0000 0.0000 2.4274
Pd 0.0000 0.0000 0.0000
Pd 0.0000 3.3210 1.2137
```